# Rb3LiTl4Br8 PBE-GGA optimized geometry
# **Crystal system**: monoclinic
# **Formation energy (no corrections)**: -19.78 eV per formula unit
data_Rb3LiTl4Br8
_chemical_formula_sum 'Rb6 Li2 Tl8 Br16'
_symmetry_space_group_name_H-M 'C 1 2/m 1'
_symmetry_Int_Tables_number 12
_cell_length_a 16.562
_cell_length_b 9.542
_cell_length_c 9.452
_cell_angle_alpha 90.00
_cell_angle_beta 124.46
_cell_angle_gamma 90.00
loop_
_symmetry_equiv_pos_as_xyz
'x,y,z'
'-x,-y,-z'
'-x,y,-z'
'x,-y,z'
'x+1/2,y+1/2,z'
'-x+1/2,-y+1/2,-z'
'-x+1/2,y+1/2,-z'
'x+1/2,-y+1/2,z'
loop_
_atom_site_label
_atom_site_type_symbol
_atom_site_fract_x
_atom_site_fract_y
_atom_site_fract_z
_atom_site_occupancy
Rb1 Rb 0.000 0.000 0.000 1
Rb2 Rb 0.250 0.250 0.000 1
Li1 Li 0.000 0.500 0.000 1
Tl1 Tl 0.000 0.000 0.500 1
Tl2 Tl 0.000 0.500 0.500 1
Tl3 Tl 0.250 0.250 0.500 1
Br1 Br 0.002 0.286 0.221 1
Br2 Br 0.238 0.000 0.734 1
Br3 Br 0.247 0.500 0.743 1

# RbLi2TmBr6 PBE-GGA optimized geometry
# **Crystal system**: triclinic
# **Formation energy (no corrections)**: -17.30 eV per formula unit
data_RbLi2TmBr6
_chemical_formula_sum 'Rb1 Li2 Tm1 Br6'
_symmetry_space_group_name_H-M 'P -1'
_symmetry_Int_Tables_number 2
_cell_length_a 6.939
_cell_length_b 6.940
_cell_length_c 9.242
_cell_angle_alpha 89.98
_cell_angle_beta 67.99
_cell_angle_gamma 60.01
loop_
_symmetry_equiv_pos_as_xyz
'x,y,z'
'-x,-y,-z'
loop_
_atom_site_label
_atom_site_type_symbol
_atom_site_fract_x
_atom_site_fract_y
_atom_site_fract_z
_atom_site_occupancy
Rb1 Rb 0.000 0.000 0.000 1
Li1 Li 0.341 0.830 0.489 1
Tm1 Tm 0.000 0.500 0.500 1
Br1 Br 0.125 0.769 0.314 1
Br2 Br 0.208 0.560 0.686 1
Br3 Br 0.455 0.106 0.314 1

# Rb3Li2TmBr8 PBE-GGA optimized geometry
# **Crystal system**: trigonal
# **Formation energy (no corrections)**: -23.64 eV per formula unit
data_Rb3Li2TmBr8
_chemical_formula_sum 'Rb3 Li2 Tm1 Br8'
_symmetry_space_group_name_H-M 'P -3 m 1'
_symmetry_Int_Tables_number 164
_symmetry_space_group_name_Hall '-P 3 2"'
_cell_length_a 7.7527
_cell_length_b 7.7527
_cell_length_c 9.8732
_cell_angle_alpha 90.00
_cell_angle_beta 90.00
_cell_angle_gamma 120.00
loop_
_atom_site_label
_atom_site_type_symbol
_atom_site_fract_x
_atom_site_fract_y
_atom_site_fract_z
_atom_site_occupancy
Rb1 Rb 0.0000 0.0000 0.0000 1
Rb2 Rb 0.3333 0.6667 0.6341 1
Li1 Li 0.3333 0.6667 0.2006 1
Tm1 Tm 0.0000 0.0000 0.5000 1
Br1 Br 0.1650 0.3300 0.3339 1
Br2 Br 0.3333 0.6667 0.9616 1

# RbLiU2Br8 PBE-GGA optimized geometry
# **Crystal system**: trigonal
# **Formation energy (no corrections)**: -16.22 eV per formula unit
data_RbLiU2Br8
_chemical_formula_sum 'Rb1 Li1 U2 Br8'
_symmetry_space_group_name_H-M 'P -3'
_symmetry_Int_Tables_number 147
_cell_length_a 7.3443
_cell_length_b 7.3443
_cell_length_c 8.8756
_cell_angle_alpha 90.00
_cell_angle_beta 90.00
_cell_angle_gamma 120.00
loop_
_symmetry_equiv_pos_as_xyz
'x,y,z'
'-x,-y,-z'
'-y,x-y,z'
'y,-x+y,-z'
'-x+y,-x,z'
'x-y,x,-z'
loop_
_atom_site_label
_atom_site_type_symbol
_atom_site_fract_x
_atom_site_fract_y
_atom_site_fract_z
_atom_site_occupancy
Rb1 Rb 0.0000 0.0000 0.0000 1
Li1 Li 0.0000 0.0000 0.5000 1
U1 U 0.3333 0.6667 0.4122 1
Br1 Br 0.0700 0.3503 0.6566 1
Br2 Br 0.3333 0.6667 0.0958 1

# RbLiUBr5 PBE-GGA optimized geometry
# **Crystal system**: monoclinic
# **Formation energy (no corrections)**: -11.70 eV per formula unit
data_RbLiUBr5
_chemical_formula_sum 'Rb4 Li4 U4 Br20'
_symmetry_space_group_name_H-M 'C 1 2/c 1'
_symmetry_Int_Tables_number 15
_cell_length_a 9.600
_cell_length_b 12.998
_cell_length_c 10.885
_cell_angle_alpha 90.00
_cell_angle_beta 113.45
_cell_angle_gamma 90.00
loop_
_symmetry_equiv_pos_as_xyz
'x,y,z'
'-x,-y,-z'
'-x,y,-z+1/2'
'x,-y,z+1/2'
'x+1/2,y+1/2,z'
'-x+1/2,-y+1/2,-z'
'-x+1/2,y+1/2,-z+1/2'
'x+1/2,-y+1/2,z+1/2'
loop_
_atom_site_label
_atom_site_type_symbol
_atom_site_fract_x
_atom_site_fract_y
_atom_site_fract_z
_atom_site_occupancy
Rb1 Rb 0.000 0.150 0.250 1
Li1 Li 0.000 0.191 0.750 1
U1 U 0.000 0.500 0.000 1
Br1 Br 0.000 0.418 0.250 1
Br2 Br 0.111 0.298 0.612 1
Br3 Br 0.188 0.068 0.926 1

# RbLiV2Br8 PBE-GGA optimized geometry
# **Crystal system**: trigonal
# **Formation energy (no corrections)**: -12.77 eV per formula unit
data_RbLiV2Br8
_chemical_formula_sum 'Rb1 Li1 V2 Br8'
_symmetry_space_group_name_H-M 'P -3'
_symmetry_Int_Tables_number 147
_cell_length_a 6.9572
_cell_length_b 6.9572
_cell_length_c 9.8589
_cell_angle_alpha 90.00
_cell_angle_beta 90.00
_cell_angle_gamma 120.00
loop_
_symmetry_equiv_pos_as_xyz
'x,y,z'
'-x,-y,-z'
'-y,x-y,z'
'y,-x+y,-z'
'-x+y,-x,z'
'x-y,x,-z'
loop_
_atom_site_label
_atom_site_type_symbol
_atom_site_fract_x
_atom_site_fract_y
_atom_site_fract_z
_atom_site_occupancy
Rb1 Rb 0.0000 0.0000 0.0000 1
Li1 Li 0.0000 0.0000 0.5000 1
V1 V 0.3333 0.6667 0.7410 1
Br1 Br 0.0149 0.3260 0.6728 1
Br2 Br 0.3333 0.6667 0.9820 1

# RbLiWBr6 PBE-GGA optimized geometry
# **Crystal system**: trigonal
# **Formation energy (no corrections)**: -8.52 eV per formula unit
data_RbLiWBr6
_chemical_formula_sum 'Rb2 Li2 W2 Br12'
_symmetry_space_group_name_H-M 'P -3 1 c'
_symmetry_Int_Tables_number 163
_symmetry_space_group_name_Hall '-P 3 2c'
_cell_length_a 6.9499
_cell_length_b 6.9499
_cell_length_c 15.3708
_cell_angle_alpha 90.00
_cell_angle_beta 90.00
_cell_angle_gamma 120.00
loop_
_atom_site_label
_atom_site_type_symbol
_atom_site_fract_x
_atom_site_fract_y
_atom_site_fract_z
_atom_site_occupancy
Rb1 Rb 0.0000 0.0000 0.0000 1
Li1 Li 0.3333 0.6667 0.2500 1
W1 W 0.3333 0.6667 0.7500 1
Br1 Br 0.0213 0.3789 0.6540 1

# Rb2LiWBr6 PBE-GGA optimized geometry
# **Crystal system**: cubic
# **Formation energy (no corrections)**: -10.93 eV per formula unit
data_Rb2LiWBr6
_chemical_formula_sum 'Rb8 Li4 W4 Br24'
_symmetry_space_group_name_H-M 'F m -3 m'
_symmetry_Int_Tables_number 225
_symmetry_space_group_name_Hall '-F 4 2 3'
_cell_length_a 10.767
_cell_length_b 10.767
_cell_length_c 10.767
_cell_angle_alpha 90.00
_cell_angle_beta 90.00
_cell_angle_gamma 90.00
loop_
_atom_site_label
_atom_site_type_symbol
_atom_site_fract_x
_atom_site_fract_y
_atom_site_fract_z
_atom_site_occupancy
Rb1 Rb 0.250 0.250 0.250 1
Li1 Li 0.000 0.000 0.000 1
W1 W 0.000 0.000 0.500 1
Br1 Br 0.000 0.000 0.258 1

- Which of these has the highest formation energy (no corrections)?
  RbLiWBr6